Entry 1:
VASP calculation (PBE) on a relaxed structure of DyThSn2.

```
4
Lattice="1.779 1.027 10.371 -1.779 1.027 10.371 0.000 -2.054 10.371" Properties=species:S:1:pos:R:3 pbc="T T T"
Dy 0.000 0.000 0.000
Th 0.000 0.000 15.556
Sn 0.000 0.000 7.866
Sn 0.000 0.000 23.247
```

Symmetry ... R-3m, No. 166
DFT formation energy ... -0.40 eV per atom
Magnetic moment ... 0.0 Bohr magnetons per cell
Calculated volume ... 28.4 A^3/atom

=====

Entry 2:
VASP calculation (PBE) on a relaxed structure of Ce3Pu3ScS8.

```
15
Lattice="3.952 2.282 6.512 -3.952 2.282 6.512 0.000 -4.564 6.512" Properties=species:S:1:pos:R:3 pbc="T T T"
Ce -1.976 -1.141 6.512
Ce -1.976 1.141 13.025
Ce 0.000 2.282 6.512
Pu -3.952 0.000 9.769
Pu -1.976 1.141 3.256
Pu 1.976 1.141 3.256
Sc 0.000 0.000 9.769
S 0.000 0.000 4.822
S -1.896 -1.095 11.292
S 0.000 -2.189 8.245
S -1.896 1.095 8.245
S 1.896 -1.095 11.292
S 0.000 2.189 11.292
S 1.896 1.095 8.245
S 0.000 0.000 14.715
```

Symmetry ... R-3m, No. 166
E_form (uncorrected) ... -1.902 eV/atom
Magnetic moment ... 19.7 Bohr magnetons per cell
Calculated volume ... 23.5 A^3/atom

=====

Entry 3:
VASP calculation (PBE) on a relaxed structure of Cs4MgF6.

```
22
Lattice="5.599 3.233 4.705 -5.599 3.233 4.705 0.000 -6.465 4.705" Properties=species:S:1:pos:R:3 pbc="T T T"
Cs -3.550 0.317 5.881
Cs 0.000 0.000 3.529
Cs -2.049 -2.916 8.233
Cs 1.501 -3.233 5.881
Cs -1.501 3.233 8.233
Cs 2.049 2.916 5.881
Cs 0.000 0.000 10.586
Cs 3.550 -0.317 8.233
Mg 0.000 0.000 0.000
Mg 0.000 0.000 7.057
F -4.901 -1.689 8.214
F -0.987 -5.089 5.900
F -3.913 3.399 5.900
F -0.987 -1.377 5.862
F -0.699 1.543 5.862
F -1.686 0.167 8.252
F 1.686 -0.167 5.862
F 0.699 -1.543 8.252
F 0.987 1.377 8.252
F 3.913 -3.399 8.214
F 0.987 5.089 8.214
F 4.901 1.689 5.900
```

Symmetry ... R-3c, No. 167
E_form (uncorrected) ... -2.906 eV/atom
Magnetic moment ... 0.0 Bohr magnetons per cell
Calculated volume ... 23.2 A^3/atom

=====

Entry 4:
VASP calculation (PBE) on a relaxed structure of Pr3PuTh2Se6.

```
12
Lattice="3.643 -6.327 0.000 3.643 6.327 0.000 -2.437 0.000 6.934" Properties=species:S:1:pos:R:3 pbc="T T T"
Pr 0.000 0.000 0.000
Pr 3.643 2.118 0.000
Pr 3.643 -2.118 0.000
Pu 2.424 0.000 3.467
Th 2.424 4.221 3.467
Th 2.424 -4.221 3.467
Se 1.226 2.088 1.774
Se 0.020 0.000 5.166
Se 1.226 -2.088 1.774
Se 3.622 2.088 5.160
Se 4.828 0.000 1.768
Se 3.622 -2.088 5.160
```

Symmetry ... C2/m, No. 12
E_form (uncorrected) ... -1.692 eV/atom
Magnetic moment ... 5.9 Bohr magnetons per cell
Calculated volume ... 26.6 A^3/atom

=====

Entry 5:
VASP calculation (PBE) on a relaxed structure of Cs4TbAg3Br12.

```
20
Lattice="-5.603 5.603 5.603 5.603 -5.603 5.603 5.603 5.603 -5.603" Properties=species:S:1:pos:R:3 pbc="T T T"
Cs 2.801 2.801 -2.801
Cs 2.801 -2.801 2.801
Cs -2.801 2.801 2.801
Cs 2.801 2.801 2.801
Tb 0.000 0.000 0.000
Ag 5.603 0.000 0.000
Ag 0.000 5.603 0.000
Ag 0.000 0.000 5.603
Br 2.779 0.000 0.000
Br 8.427 0.000 0.000
Br 0.000 2.779 0.000
Br 0.000 0.000 2.779
Br 5.603 2.801 0.000
Br 5.603 0.000 2.801
Br 2.801 5.603 0.000
Br 2.801 0.000 5.603
Br 0.000 5.603 2.801
Br 0.000 2.801 5.603
Br 0.000 8.427 0.000
Br 0.000 0.000 8.427
```

Symmetry ... Im-3m, No. 229
E_form (uncorrected) ... -1.221 eV/atom
Magnetic moment ... 0.0 Bohr magnetons per cell
Calculated volume ... 35.2 A^3/atom

=====

Entry 6:
VASP calculation (PBE) on a relaxed structure of Sc4Co.

```
5
Lattice="-1.829 1.829 8.383 1.829 -1.829 8.383 1.829 1.829 -8.383" Properties=species:S:1:pos:R:3 pbc="T T T"
Sc 0.000 0.000 1.407
Sc 1.829 0.000 4.191
Sc 0.000 1.829 4.191
Sc 0.000 0.000 15.358
Co 0.000 0.000 8.383
```

Symmetry ... I4/mmm, No. 139
DFT formation energy ... 0.52 eV per atom
Magnetic moment ... 1.4 Bohr magnetons per cell
Calculated volume ... 22.4 A^3/atom

=====

Entry 7:
VASP calculation (PBE) on a relaxed structure of KLi2Tl.

```
4
Lattice="3.686 0.000 0.000 0.000 3.929 0.000 -0.222 0.000 8.188" Properties=species:S:1:pos:R:3 pbc="T T T"
K 0.000 0.000 0.000
Li 1.754 1.964 2.726
Li 1.711 1.964 5.462
Tl -0.111 0.000 4.094
```

Symmetry ... P2/m, No. 10
DFT formation energy ... -0.05 eV per atom
Magnetic moment ... 0.0 Bohr magnetons per cell
Calculated volume ... 29.6 A^3/atom

=====

Entry 8:
VASP calculation (PBE) on a relaxed structure of NaPr2NpO6.

```
20
Lattice="5.781 0.000 0.000 0.000 5.962 0.000 -5.544 0.000 9.260" Properties=species:S:1:pos:R:3 pbc="T T T"
Na 0.000 0.000 0.000
Na -2.772 2.981 4.630
Pr -2.923 0.312 6.885
Pr -0.151 2.669 2.255
Pr 0.388 3.293 7.005
Pr 3.160 5.650 2.375
Np 0.119 0.000 4.630
Np 2.890 2.981 0.000
O -1.461 1.192 4.019
O -4.232 1.788 8.649
O -1.034 4.340 3.639
O -3.806 4.603 8.270
O 1.017 0.588 2.744
O -1.755 2.393 7.374
O 1.992 3.569 1.886
O -0.780 5.374 6.516
O 4.043 1.359 0.991
O 1.271 1.622 5.621
O 4.470 4.173 0.611
O 1.698 4.769 5.241
```

Symmetry ... P2_1/c, No. 14
E_form (uncorrected) ... -2.970 eV/atom
Magnetic moment ... 4.0 Bohr magnetons per cell
Calculated volume ... 16.0 A^3/atom

=====

Entry 9:
VASP calculation (PBE) on a relaxed structure of Cu2Pt.

```
12
Lattice="4.604 0.000 0.000 1.574 5.187 0.000 1.675 0.901 6.711" Properties=species:S:1:pos:R:3 pbc="T T T"
Cu 0.000 0.000 0.000
Cu 0.824 1.200 2.169
Cu 4.713 4.303 5.563
Cu 3.910 1.615 5.574
Cu 3.874 4.519 1.032
Cu 7.015 4.974 4.486
Cu 7.074 3.595 6.684
Cu 6.208 3.810 2.173
Pt 3.901 3.113 3.294
Pt 3.086 1.928 0.970
Pt 3.163 0.475 3.311
Pt 6.200 2.376 4.546
```

Symmetry ... P1, No. 1
DFT formation energy ... -0.11 eV per atom
Magnetic moment ... 0.0 Bohr magnetons per cell
Calculated volume ... 13.4 A^3/atom

=====

Entry 10:
VASP calculation (PBE) on a relaxed structure of Sn3PbSe.

```
5
Lattice="5.548 0.000 0.000 0.000 5.548 0.000 0.000 0.000 5.548" Properties=species:S:1:pos:R:3 pbc="T T T"
Sn 0.000 0.000 2.774
Sn 0.000 2.774 0.000
Sn 2.774 0.000 0.000
Pb 2.774 2.774 2.774
Se 0.000 0.000 0.000
```

Symmetry ... Pm-3m, No. 221
E_form (uncorrected) ... 0.268 eV/atom
Magnetic moment ... 0.0 Bohr magnetons per cell
Calculated volume ... 34.2 A^3/atom

=====

Entry 11:
VASP calculation (PBE) on a relaxed structure of Ac5Ce2Se12.

```
19
Lattice="8.484 -4.068 0.000 8.484 4.068 0.000 -3.001 0.000 9.424" Properties=species:S:1:pos:R:3 pbc="T T T"
Ac 0.000 0.000 0.000
Ac 4.634 0.000 1.320
Ac 3.290 0.000 6.323
Ac 10.676 0.000 3.101
Ac 9.332 0.000 8.104
Ce 6.983 2.026 4.712
Ce 6.983 -2.026 4.712
Se -0.844 0.000 2.913
Se 4.300 1.885 3.878
Se 3.149 2.017 8.785
Se 10.817 2.017 0.639
Se 9.666 1.885 5.546
Se 7.547 0.000 2.739
Se 6.419 0.000 6.684
Se 4.300 -1.885 3.878
Se 3.149 -2.017 8.785
Se 10.817 -2.017 0.639
Se 9.666 -1.885 5.546
Se 14.810 0.000 6.511
```

Symmetry ... C2/m, No. 12
E_form (uncorrected) ... -1.785 eV/atom
Magnetic moment ... 0.0 Bohr magnetons per cell
Calculated volume ... 34.2 A^3/atom

=====

Entry 12:
VASP calculation (PBE) on a relaxed structure of Rb2MoPb.

```
8
Lattice="-6.736 6.736 2.721 6.736 -6.736 2.721 6.736 6.736 -2.721" Properties=species:S:1:pos:R:3 pbc="T T T"
Rb 1.000 3.368 0.680
Rb -3.368 5.735 2.041
Rb -1.000 10.104 0.680
Rb 3.368 7.736 2.041
Mo 0.000 0.000 0.000
Mo 0.000 6.736 1.361
Pb 6.736 0.000 1.361
Pb 0.000 0.000 2.721
```

Symmetry ... I-42d, No. 122
DFT formation energy ... 0.94 eV per atom
Magnetic moment ... 6.4 Bohr magnetons per cell
Calculated volume ... 61.7 A^3/atom